Record 1
Zn2SbIr after structural relaxation, computed with GGA-PBE.

POSCAR file:
```
Zn2SbIr
1.0
-2.657 1.389 -0.725
-1.565 -2.309 1.316
0.125 3.746 6.720
Zn Ir Sb
2 1 1
Direct
0.000 0.000 0.438
0.000 0.000 0.062
0.500 0.500 0.250
0.500 0.500 0.750
```

- VASP energy (eV for the cell shown) = -15.312
- space group = P4/mmm, No. 123
- N(E_F) (states/eV/cell) = 0.98

***

Record 2
CoAgAsBr2 after structural relaxation, computed with GGA-PBE.

POSCAR file:
```
CoAgAsBr2
1.0
5.173 0.000 0.000
0.000 5.173 0.000
0.000 0.000 4.364
Br Ag As Co
2 1 1 1
Direct
0.500 0.000 0.000
0.000 0.500 0.000
0.500 0.500 0.500
0.000 0.000 0.500
0.000 0.000 0.000
```

- VASP energy (eV for the cell shown) = -16.559
- space group = P4/mmm, No. 123
- N(E_F) (states/eV/cell) = 1.83

***

Record 3
BaCaTbTiO6 after structural relaxation, computed with GGA-PBE.

POSCAR file:
```
BaCaTbTiO6
1.0
0.000 4.194 4.194
4.194 0.000 4.194
4.194 4.194 0.000
O Tb Ti Ca Ba
6 1 1 1 1
Direct
0.734 0.734 0.266
0.266 0.266 0.734
0.734 0.266 0.266
0.734 0.266 0.734
0.266 0.734 0.734
0.266 0.734 0.266
0.000 0.000 0.000
0.500 0.500 0.500
0.750 0.750 0.750
0.250 0.250 0.250
```

- VASP energy (eV for the cell shown) = -74.472
- space group = F-43m, No. 216
- N(E_F) (states/eV/cell) = 6.47

***

Record 4
AgAs2Os after structural relaxation, computed with GGA-PBE.

POSCAR file:
```
AgAs2Os
1.0
-3.954 0.137 2.353
2.047 -2.056 3.574
0.788 2.801 1.160
Ag Os As
1 1 2
Direct
0.000 0.500 0.500
0.500 0.000 0.500
0.000 0.000 0.000
0.500 0.500 0.000
```

- VASP energy (eV for the cell shown) = -21.148
- space group = Cmmm, No. 65
- N(E_F) (states/eV/cell) = 3.36
- formation energy from the elements (kJ/mol of formula units) = 215

***

What is the formula in the third record?
BaCaTbTiO6